No. 1
Computed, not measured: a relaxed structure of KBa2TcSe at the PBE level of DFT.

Geometry as CIF:
```
data_KBa2TcSe
_space_group_name_H-M_alt 'P 1'
_space_group_IT_number 1
_space_group_name_Hall 'P 1'
_cell_length_a 6.288
_cell_length_b 6.000
_cell_length_c 6.288
_cell_angle_alpha 90.00
_cell_angle_beta 90.00
_cell_angle_gamma 90.00
loop_
_atom_site_label
_atom_site_fract_x
_atom_site_fract_y
_atom_site_fract_z
K1 0.000 0.500 0.000
Ba1 0.000 0.000 0.500
Ba2 0.500 0.000 0.000
Se1 0.000 0.000 0.000
Tc1 0.500 0.500 0.500
```

Computed properties:
- Density of states at the Fermi level: 5.97 states/eV per cell
- Mass density: 3.43 g/cm3
- E_form (uncorrected): 226 meV per atom

No. 2
Computed, not measured: a relaxed structure of Na2Ca5Si2 at the PBE level of DFT.

Geometry as CIF:
```
data_Na2Ca5Si2
_space_group_name_H-M_alt 'P 1'
_space_group_IT_number 1
_space_group_name_Hall 'P 1'
_cell_length_a 7.691
_cell_length_b 7.693
_cell_length_c 10.826
_cell_angle_alpha 90.00
_cell_angle_beta 69.19
_cell_angle_gamma 90.00
loop_
_atom_site_label
_atom_site_fract_x
_atom_site_fract_y
_atom_site_fract_z
Na1 0.232 0.000 0.537
Na2 0.732 0.500 0.537
Na3 0.768 0.000 0.463
Na4 0.268 0.500 0.463
Ca1 0.000 0.000 0.000
Ca2 0.500 0.500 0.000
Ca3 0.426 0.178 0.792
Ca4 0.782 0.822 0.792
Ca5 0.282 0.678 0.792
Ca6 0.926 0.322 0.792
Ca7 0.574 0.822 0.208
Ca8 0.218 0.178 0.208
Ca9 0.718 0.322 0.208
Ca10 0.074 0.678 0.208
Si1 0.113 0.387 0.000
Si2 0.887 0.613 0.000
Si3 0.387 0.887 0.000
Si4 0.613 0.113 0.000
```

Computed properties:
- Density of states at the Fermi level: 14.65 states/eV per cell
- Mass density: 1.68 g/cm3
- E_form (uncorrected): -234 meV per atom